{
  "formula": "Ti5Co2CuRh2",
  "functional": "PBE",
  "state": "optimized geometry",
  "cell": [[3.019, 0.000, 0.000], [0.000, 9.939, 0.000], [0.000, 0.000, 9.939]],
  "species": ["Ti", "Ti", "Ti", "Ti", "Ti", "Ti", "Ti", "Ti", "Ti", "Ti", "Co", "Co", "Co", "Co", "Cu", "Cu", "Rh", "Rh", "Rh", "Rh"],
  "frac_coords": [[0.500, 0.190, 0.100], [0.500, 0.810, 0.900], [0.500, 0.100, 0.810], [0.500, 0.690, 0.400], [0.500, 0.900, 0.190], [0.500, 0.310, 0.600], [0.500, 0.600, 0.690], [0.500, 0.400, 0.310], [0.500, 0.500, 0.000], [0.500, 0.000, 0.500], [0.000, 0.132, 0.632], [0.000, 0.868, 0.368], [0.000, 0.632, 0.868], [0.000, 0.368, 0.132], [0.000, 0.000, 0.000], [0.000, 0.500, 0.500], [0.000, 0.666, 0.166], [0.000, 0.334, 0.834], [0.000, 0.166, 0.334], [0.000, 0.834, 0.666]],
  "formation_enthalpy_0k_ev_per_atom": -0.24,
  "m_tot_mub_per_fu": 0.00
}